[1]
AcGdSn: relaxed, PBE.

Output
Relative energy among the computed polymorphs, eV/f.u.: 0.00
Magnetic moment, μB/cell: 16.85
DOS at the Fermi energy, states/eV per atom: 1.145
Calculated formation energy, eV/atom: -0.43
Crystal system: tetragonal

```
data_AcGdSn
_chemical_formula_sum 'Ac2 Gd2 Sn2'
_cell_length_a 4.215
_cell_length_b 4.215
_cell_length_c 11.154
_cell_angle_alpha 90.00
_cell_angle_beta 90.00
_cell_angle_gamma 90.00
_space_group_name_H-M_alt 'I 4 m m'
_space_group_IT_number 107
_space_group_name_Hall 'I 4 -2'
loop_
_atom_site_label
_atom_site_fract_x
_atom_site_fract_y
_atom_site_fract_z
Ac1 0.000 0.000 0.000
Gd1 0.000 0.000 0.704
Sn1 0.000 0.000 0.328
```

=====

[2]
Ac2GdSn: relaxed, PBE.

Output
Relative energy among the computed polymorphs, eV/f.u.: 0.00
Magnetic moment, μB/cell: 7.83
DOS at the Fermi energy, states/eV per atom: 1.060
Calculated formation energy, eV/atom: -0.35
Crystal system: tetragonal

```
data_Ac2GdSn
_chemical_formula_sum 'Ac2 Gd1 Sn1'
_cell_length_a 5.228
_cell_length_b 5.228
_cell_length_c 5.078
_cell_angle_alpha 90.00
_cell_angle_beta 90.00
_cell_angle_gamma 90.00
_space_group_name_H-M_alt 'P 4/m m m'
_space_group_IT_number 123
_space_group_name_Hall '-P 4 2'
loop_
_atom_site_label
_atom_site_fract_x
_atom_site_fract_y
_atom_site_fract_z
Ac1 0.000 0.500 0.000
Gd1 0.000 0.000 0.500
Sn1 0.500 0.500 0.500
```

=====

[3]
Ac2GdSn: relaxed, PBE.

Output
Relative energy among the computed polymorphs, eV/f.u.: 0.24
Magnetic moment, μB/cell: 7.53
DOS at the Fermi energy, states/eV per atom: 1.387
Calculated formation energy, eV/atom: -0.29
Crystal system: tetragonal

```
data_Ac2GdSn
_chemical_formula_sum 'Ac2 Gd1 Sn1'
_cell_length_a 4.437
_cell_length_b 4.437
_cell_length_c 7.332
_cell_angle_alpha 90.00
_cell_angle_beta 90.00
_cell_angle_gamma 90.00
_space_group_name_H-M_alt 'P 4/m m m'
_space_group_IT_number 123
_space_group_name_Hall '-P 4 2'
loop_
_atom_site_label
_atom_site_fract_x
_atom_site_fract_y
_atom_site_fract_z
Ac1 0.000 0.000 0.231
Gd1 0.500 0.500 0.500
Sn1 0.500 0.500 0.000
```

=====

[4]
AcGdSn: relaxed, PBE.

Output
Relative energy among the computed polymorphs, eV/f.u.: 0.15
Magnetic moment, μB/cell: 32.15
DOS at the Fermi energy, states/eV per atom: 1.830
Calculated formation energy, eV/atom: -0.38
Crystal system: cubic

```
data_AcGdSn
_chemical_formula_sum 'Ac4 Gd4 Sn4'
_cell_length_a 7.684
_cell_length_b 7.684
_cell_length_c 7.684
_cell_angle_alpha 90.00
_cell_angle_beta 90.00
_cell_angle_gamma 90.00
_space_group_name_H-M_alt 'F -4 3 m'
_space_group_IT_number 216
_space_group_name_Hall 'F -4 2 3'
loop_
_atom_site_label
_atom_site_fract_x
_atom_site_fract_y
_atom_site_fract_z
Ac1 0.000 0.000 0.000
Gd1 0.000 0.000 0.500
Sn1 0.250 0.250 0.250
```

=====

[5]
Ac2GdSn: relaxed, PBE.

Output
Relative energy among the computed polymorphs, eV/f.u.: 0.64
Magnetic moment, μB/cell: 31.06
DOS at the Fermi energy, states/eV per atom: 1.680
Calculated formation energy, eV/atom: -0.19
Crystal system: cubic

```
data_Ac2GdSn
_chemical_formula_sum 'Ac8 Gd4 Sn4'
_cell_length_a 8.291
_cell_length_b 8.291
_cell_length_c 8.291
_cell_angle_alpha 90.00
_cell_angle_beta 90.00
_cell_angle_gamma 90.00
_space_group_name_H-M_alt 'F m -3 m'
_space_group_IT_number 225
_space_group_name_Hall '-F 4 2 3'
loop_
_atom_site_label
_atom_site_fract_x
_atom_site_fract_y
_atom_site_fract_z
Ac1 0.250 0.250 0.250
Gd1 0.000 0.000 0.000
Sn1 0.000 0.000 0.500
```

=====

[6]
AcGdSn: relaxed, PBE.

Output
Relative energy among the computed polymorphs, eV/f.u.: 0.62
Magnetic moment, μB/cell: 8.07
DOS at the Fermi energy, states/eV per atom: 1.527
Calculated formation energy, eV/atom: -0.22
Crystal system: trigonal

```
data_AcGdSn
_chemical_formula_sum 'Ac1 Gd1 Sn1'
_cell_length_a 3.9215
_cell_length_b 3.9215
_cell_length_c 7.9930
_cell_angle_alpha 90.00
_cell_angle_beta 90.00
_cell_angle_gamma 120.00
_space_group_name_H-M_alt 'P 3 m 1'
_space_group_IT_number 156
loop_
_space_group_symop_operation_xyz
'x,y,z'
'-y,x-y,z'
'-x+y,-x,z'
'-y,-x,z'
'-x+y,y,z'
'x,x-y,z'
loop_
_atom_site_label
_atom_site_fract_x
_atom_site_fract_y
_atom_site_fract_z
Ac1 0.0000 0.0000 0.0000
Gd1 0.6667 0.3333 0.3927
Sn1 0.3333 0.6667 0.6758
```

=====

[7]
SrAcGdSn: relaxed, PBE.

Output
Magnetic moment, μB/cell: 35.15
DOS at the Fermi energy, states/eV per atom: 1.749
Calculated formation energy, eV/atom: -0.09
Crystal system: cubic

```
data_SrAcGdSn
_chemical_formula_sum 'Sr4 Ac4 Gd4 Sn4'
_cell_length_a 8.190
_cell_length_b 8.190
_cell_length_c 8.190
_cell_angle_alpha 90.00
_cell_angle_beta 90.00
_cell_angle_gamma 90.00
_space_group_name_H-M_alt 'F -4 3 m'
_space_group_IT_number 216
_space_group_name_Hall 'F -4 2 3'
loop_
_atom_site_label
_atom_site_fract_x
_atom_site_fract_y
_atom_site_fract_z
Sr1 0.000 0.000 0.000
Ac1 0.250 0.250 0.250
Gd1 0.000 0.000 0.500
Sn1 0.250 0.250 0.750
```

=====

[8]
AcTbGdSn: relaxed, PBE.

Output
Magnetic moment, μB/cell: 31.82
DOS at the Fermi energy, states/eV per atom: 1.197
Calculated formation energy, eV/atom: -0.19
Crystal system: cubic

```
data_AcTbGdSn
_chemical_formula_sum 'Ac4 Tb4 Gd4 Sn4'
_cell_length_a 7.900
_cell_length_b 7.900
_cell_length_c 7.900
_cell_angle_alpha 90.00
_cell_angle_beta 90.00
_cell_angle_gamma 90.00
_space_group_name_H-M_alt 'F -4 3 m'
_space_group_IT_number 216
_space_group_name_Hall 'F -4 2 3'
loop_
_atom_site_label
_atom_site_fract_x
_atom_site_fract_y
_atom_site_fract_z
Ac1 0.000 0.000 0.000
Tb1 0.250 0.250 0.250
Gd1 0.250 0.250 0.750
Sn1 0.000 0.000 0.500
```

=====

[9]
AcGdThSn: relaxed, PBE.

Output
Magnetic moment, μB/cell: 28.65
DOS at the Fermi energy, states/eV per atom: 0.945
Calculated formation energy, eV/atom: -0.10
Crystal system: cubic

```
data_AcGdThSn
_chemical_formula_sum 'Ac4 Gd4 Th4 Sn4'
_cell_length_a 7.964
_cell_length_b 7.964
_cell_length_c 7.964
_cell_angle_alpha 90.00
_cell_angle_beta 90.00
_cell_angle_gamma 90.00
_space_group_name_H-M_alt 'F -4 3 m'
_space_group_IT_number 216
_space_group_name_Hall 'F -4 2 3'
loop_
_atom_site_label
_atom_site_fract_x
_atom_site_fract_y
_atom_site_fract_z
Ac1 0.000 0.000 0.000
Gd1 0.250 0.250 0.750
Th1 0.250 0.250 0.250
Sn1 0.000 0.000 0.500
```

=====

[10]
AcGdTlSn: relaxed, PBE.

Output
Magnetic moment, μB/cell: 29.06
DOS at the Fermi energy, states/eV per atom: 1.245
Calculated formation energy, eV/atom: -0.46
Crystal system: cubic

```
data_AcGdTlSn
_chemical_formula_sum 'Ac4 Gd4 Tl4 Sn4'
_cell_length_a 7.955
_cell_length_b 7.955
_cell_length_c 7.955
_cell_angle_alpha 90.00
_cell_angle_beta 90.00
_cell_angle_gamma 90.00
_space_group_name_H-M_alt 'F -4 3 m'
_space_group_IT_number 216
_space_group_name_Hall 'F -4 2 3'
loop_
_atom_site_label
_atom_site_fract_x
_atom_site_fract_y
_atom_site_fract_z
Ac1 0.000 0.000 0.000
Gd1 0.000 0.000 0.500
Tl1 0.250 0.250 0.250
Sn1 0.250 0.250 0.750
```

=====

[11]
AcGdYSn: relaxed, PBE.

Output
Magnetic moment, μB/cell: 32.27
DOS at the Fermi energy, states/eV per atom: 1.163
Calculated formation energy, eV/atom: -0.19
Crystal system: cubic

```
data_AcGdYSn
_chemical_formula_sum 'Ac4 Gd4 Y4 Sn4'
_cell_length_a 7.905
_cell_length_b 7.905
_cell_length_c 7.905
_cell_angle_alpha 90.00
_cell_angle_beta 90.00
_cell_angle_gamma 90.00
_space_group_name_H-M_alt 'F -4 3 m'
_space_group_IT_number 216
_space_group_name_Hall 'F -4 2 3'
loop_
_atom_site_label
_atom_site_fract_x
_atom_site_fract_y
_atom_site_fract_z
Ac1 0.000 0.000 0.000
Gd1 0.250 0.250 0.750
Y1 0.250 0.250 0.250
Sn1 0.000 0.000 0.500
```

=====

[12]
AcGdZnSn: relaxed, PBE.

Output
Magnetic moment, μB/cell: 29.02
DOS at the Fermi energy, states/eV per atom: 1.181
Calculated formation energy, eV/atom: -0.45
Crystal system: cubic

```
data_AcGdZnSn
_chemical_formula_sum 'Ac4 Gd4 Zn4 Sn4'
_cell_length_a 7.744
_cell_length_b 7.744
_cell_length_c 7.744
_cell_angle_alpha 90.00
_cell_angle_beta 90.00
_cell_angle_gamma 90.00
_space_group_name_H-M_alt 'F -4 3 m'
_space_group_IT_number 216
_space_group_name_Hall 'F -4 2 3'
loop_
_atom_site_label
_atom_site_fract_x
_atom_site_fract_y
_atom_site_fract_z
Ac1 0.000 0.000 0.000
Gd1 0.000 0.000 0.500
Zn1 0.250 0.250 0.250
Sn1 0.250 0.250 0.750
```

=====

[13]
Sr2AcGd: relaxed, PBE.

Output
Relative energy among the computed polymorphs, eV/f.u.: 0.00
Magnetic moment, μB/cell: 8.29
DOS at the Fermi energy, states/eV per atom: 2.107
Calculated formation energy, eV/atom: 0.16
Crystal system: tetragonal

```
data_Sr2AcGd
_chemical_formula_sum 'Sr2 Ac1 Gd1'
_cell_length_a 3.917
_cell_length_b 3.917
_cell_length_c 11.727
_cell_angle_alpha 90.00
_cell_angle_beta 90.00
_cell_angle_gamma 90.00
_space_group_name_H-M_alt 'P 4/m m m'
_space_group_IT_number 123
_space_group_name_Hall '-P 4 2'
loop_
_atom_site_label
_atom_site_fract_x
_atom_site_fract_y
_atom_site_fract_z
Sr1 0.000 0.000 0.238
Ac1 0.500 0.500 0.500
Gd1 0.500 0.500 0.000
```

=====

[14]
SrAc2Gd: relaxed, PBE.

Output
Relative energy among the computed polymorphs, eV/f.u.: 0.25
Magnetic moment, μB/cell: 7.67
DOS at the Fermi energy, states/eV per atom: 1.997
Calculated formation energy, eV/atom: 0.12
Crystal system: tetragonal

```
data_SrAc2Gd
_chemical_formula_sum 'Sr1 Ac2 Gd1'
_cell_length_a 5.598
_cell_length_b 5.598
_cell_length_c 5.463
_cell_angle_alpha 90.00
_cell_angle_beta 90.00
_cell_angle_gamma 90.00
_space_group_name_H-M_alt 'P 4/m m m'
_space_group_IT_number 123
_space_group_name_Hall '-P 4 2'
loop_
_atom_site_label
_atom_site_fract_x
_atom_site_fract_y
_atom_site_fract_z
Sr1 0.000 0.000 0.000
Ac1 0.000 0.500 0.500
Gd1 0.500 0.500 0.000
```

=====

[15]
Sr2AcGd: relaxed, PBE.

Output
Relative energy among the computed polymorphs, eV/f.u.: 0.07
Magnetic moment, μB/cell: 8.37
DOS at the Fermi energy, states/eV per atom: 2.340
Calculated formation energy, eV/atom: 0.18
Crystal system: tetragonal

```
data_Sr2AcGd
_chemical_formula_sum 'Sr2 Ac1 Gd1'
_cell_length_a 5.505
_cell_length_b 5.505
_cell_length_c 5.940
_cell_angle_alpha 90.00
_cell_angle_beta 90.00
_cell_angle_gamma 90.00
_space_group_name_H-M_alt 'P 4/m m m'
_space_group_IT_number 123
_space_group_name_Hall '-P 4 2'
loop_
_atom_site_label
_atom_site_fract_x
_atom_site_fract_y
_atom_site_fract_z
Sr1 0.000 0.500 0.000
Ac1 0.000 0.000 0.500
Gd1 0.500 0.500 0.500
```